[1]
A plane-wave DFT calculation with PBE-GGA was carried out for Li2Cd4Pt3 after structural relaxation.

The structure belongs to space group C2/m (No. 12); the cell edges are 8.377, 4.429 and 8.431 Å and the angles 90.00°, 96.50° and 90.00°. The distinct sites, in fractional coordinates, are Li at (0.176, 0.000, 0.239), Cd at (0.009, 0.500, 0.333), Cd at (0.164, 0.000, 0.891), Pt at (0.000, 0.500, 0.000) and Pt at (0.165, 0.000, 0.556).

For the energy relative to the elements, the calculation gives -0.408 eV/atom. Its energy is -3.253 eV per atom. As for the spin magnetization: 0.00 μB per atom. The calculation puts the density of states at the Fermi level at 2.11 states/eV/f.u.

---

[2]
A plane-wave DFT calculation with PBE-GGA was carried out for CaPr2Mg5 after structural relaxation.

The structure belongs to space group I4/mmm (No. 139); the cell edges are 5.039, 5.039 and 17.854 Å and the angles 90.00°, 90.00° and 90.00°. The distinct sites, in fractional coordinates, are Ca at (0.000, 0.000, 0.000), Pr at (0.000, 0.000, 0.258), Mg at (0.000, 0.000, 0.500) and Mg at (0.000, 0.500, 0.118).

For the energy relative to the elements, the calculation gives -0.067 eV/atom. Its energy is -2.509 eV per atom. As for the spin magnetization: 0.00 μB per atom. The calculation puts the density of states at the Fermi level at 5.53 states/eV/f.u.

---

[3]
A plane-wave DFT calculation with PBE-GGA was carried out for CuTc2Ag after structural relaxation.

The structure belongs to space group I4/mmm (No. 139); the cell edges are 3.645, 3.645 and 8.850 Å and the angles 90.00°, 90.00° and 90.00°. The distinct sites, in fractional coordinates, are Cu at (0.000, 0.000, 0.000), Tc at (0.000, 0.500, 0.250) and Ag at (0.000, 0.000, 0.500).

For the energy relative to the elements, the calculation gives 0.429 eV/atom. Its energy above the lowest structure with this stoichiometry is 162 meV/atom. Its energy is -6.490 eV per atom. As for the spin magnetization: 0.00 μB per atom. The calculation puts the density of states at the Fermi level at 2.55 states/eV/f.u.

---

[4]
A plane-wave DFT calculation with PBE-GGA was carried out for AcTl8Se6 after structural relaxation.

The structure belongs to space group R-3 (No. 148, hexagonal axes); the cell edges are 7.6549, 7.6549 and 30.0368 Å and the angles 90.00°, 90.00° and 120.00°. The distinct sites, in fractional coordinates, are Ac at (0.0000, 0.0000, 0.0000), Tl at (0.0000, 0.0000, 0.3340), Tl at (0.0002, 0.3367, 0.1193) and Se at (0.9999, 0.3237, 0.9367).

Its energy is -3.558 eV per atom. The uncorrected formation energy comes out at -629 meV per atom. As for the spin magnetization: 0.00 μB per atom. The calculation puts the density of states at the Fermi level at 7.72 states/eV/f.u.

---

[5]
A plane-wave DFT calculation with PBE-GGA was carried out for Na2ErB2O6 after structural relaxation.

The structure belongs to space group P-3 (No. 147); the cell edges are 5.3145, 5.3145 and 6.1408 Å and the angles 90.00°, 90.00° and 120.00°. The distinct sites, in fractional coordinates, are Na at (0.3333, 0.6667, 0.3400), Er at (0.0000, 0.0000, 0.0000), B at (0.3333, 0.6667, 0.7929) and O at (0.1063, 0.3848, 0.7862).

Its energy is -6.961 eV per atom. The uncorrected formation energy comes out at -2387 meV per atom. As for the spin magnetization: 0.09 μB per atom. The calculation puts the density of states at the Fermi level at 5.50 states/eV/f.u.

---

[6]
A plane-wave DFT calculation with PBE-GGA was carried out for HfAs2SeO after structural relaxation.

The structure belongs to space group P4/mmm (No. 123); the cell edges are 5.155, 5.155 and 4.998 Å and the angles 90.00°, 90.00° and 90.00°. The distinct sites, in fractional coordinates, are Hf at (0.000, 0.000, 0.000), As at (0.000, 0.500, 0.000), Se at (0.000, 0.000, 0.500) and O at (0.500, 0.500, 0.500).

Its energy above the lowest structure with this stoichiometry is 741 meV/atom. Its energy is -4.931 eV per atom. The uncorrected formation energy comes out at 608 meV per atom. As for the spin magnetization: 0.00 μB per atom. The calculation puts the density of states at the Fermi level at 10.09 states/eV/f.u.

---

[7]
A plane-wave DFT calculation with PBE-GGA was carried out for Nd2LuPu after structural relaxation.

The structure belongs to space group P4/mmm (No. 123); the cell edges are 3.556, 3.556 and 10.084 Å and the angles 90.00°, 90.00° and 90.00°. The distinct sites, in fractional coordinates, are Nd at (0.000, 0.000, 0.250), Lu at (0.500, 0.500, 0.000) and Pu at (0.500, 0.500, 0.500).

For the energy relative to the elements, the calculation gives 0.115 eV/atom. Its energy above the lowest structure with this stoichiometry is 0 meV/atom. Its energy is -6.983 eV per atom. As for the spin magnetization: 1.47 μB per atom. The calculation puts the density of states at the Fermi level at 8.70 states/eV/f.u.

---

[8]
A plane-wave DFT calculation with PBE-GGA was carried out for Sc3Co2Cu2 after structural relaxation.

The structure belongs to space group C2/m (No. 12); the cell edges are 7.467, 4.317 and 7.863 Å and the angles 90.00°, 108.28° and 90.00°. The distinct sites, in fractional coordinates, are Sc at (0.000, 0.000, 0.000), Sc at (0.249, 0.500, 0.248), Co at (0.131, 0.500, 0.892) and Cu at (0.128, 0.000, 0.386).

For the energy relative to the elements, the calculation gives 0.000 eV/atom. Its energy is -5.914 eV per atom. As for the spin magnetization: 0.00 μB per atom. The calculation puts the density of states at the Fermi level at 6.77 states/eV/f.u.

---

What is the density of states at the Fermi level in the fifth record?
5.50 states/eV/f.u.

---

Which of these has the highest density of states at the Fermi level?
HfAs2SeO

---

Please write out number 4 again, unchanged.
A plane-wave DFT calculation with PBE-GGA was carried out for AcTl8Se6 after structural relaxation.

The structure belongs to space group R-3 (No. 148, hexagonal axes); the cell edges are 7.6549, 7.6549 and 30.0368 Å and the angles 90.00°, 90.00° and 120.00°. The distinct sites, in fractional coordinates, are Ac at (0.0000, 0.0000, 0.0000), Tl at (0.0000, 0.0000, 0.3340), Tl at (0.0002, 0.3367, 0.1193) and Se at (0.9999, 0.3237, 0.9367).

Its energy is -3.558 eV per atom. The uncorrected formation energy comes out at -629 meV per atom. As for the spin magnetization: 0.00 μB per atom. The calculation puts the density of states at the Fermi level at 7.72 states/eV/f.u.